A relaxed structure of HfGaHg2, computed with PBE.

abc: 7.723 7.723 6.206
angles: 51.52 51.52 90.00
Positions (direct):
Hf 0.000 0.000 0.000
Ga 0.500 0.500 0.000
Hg 0.145 0.625 0.250
Hf 0.750 0.250 0.500
Hg 0.605 0.125 0.250
Ga 0.250 0.750 0.500
Hg 0.875 0.855 0.750
Hg 0.375 0.395 0.750

Values from the calculation:
Total DFT energy (no corrections): -26.06 eV per cell
Formation energy: 0.139 eV per atom